VASP calculation (GGA-PBE) on KLiPPt after structural relaxation.

```
KLiPPt
1.0
4.147 -0.009 -0.001
-2.057 3.601 0.001
-2.057 -1.207 5.942
Pt P Li K
1 1 1 1
direct
0.793 0.261 0.054
0.462 0.595 0.057
0.033 0.880 0.913
0.404 0.068 0.472
```

Summary:
formation enthalpy at 0 K	-0.59	eV/atom
E_tot	-4.21	eV per atom
space-group type	Cm
total magnetization	0.00	μB/f.u.



VASP calculation (GGA-PBE) on CoNi2S after structural relaxation.

```
CoNi2S
1.0
3.356 0.000 0.000
0.000 3.356 0.000
1.678 1.678 8.315
Ni S Co
4 2 2
direct
0.129 0.625 0.250
0.621 0.125 0.250
0.875 0.871 0.750
0.375 0.379 0.750
0.500 0.500 0.000
0.250 0.750 0.500
0.750 0.250 0.500
0.000 0.000 0.000
```

Summary:
energy relative to the elements, uncorrected	0.222	eV per atom
E_tot	-5.48	eV per atom
space-group type	I-42d
total magnetization	0.00	μB/f.u.



VASP calculation (GGA-PBE) on Pm6Pr8Sc after structural relaxation.

```
Pm6Pr8Sc
1.0
-1.789 1.397 -8.549
-8.538 -0.063 -2.310
-3.593 7.816 -2.057
Pr Pm Sc
8 6 1
direct
0.245 0.887 0.283
0.755 0.113 0.717
0.717 0.755 0.113
0.578 0.578 0.578
0.422 0.422 0.422
0.887 0.283 0.245
0.283 0.245 0.887
0.113 0.717 0.755
0.903 0.457 0.760
0.760 0.903 0.457
0.240 0.097 0.543
0.543 0.240 0.097
0.457 0.760 0.903
0.097 0.543 0.240
0.000 0.000 0.000
```

Summary:
formation enthalpy at 0 K	0.11	eV/atom
E_tot	-4.76	eV per atom
space-group type	R-3
total magnetization	0.00	μB/f.u.